Record 1
Here is a relaxed Pa2Si7Pd12 crystal from Alexandria via LeMat-Bulk. Energies are from PBE-GGA.

a b c (Å): 3.940 9.923 9.923
angles (deg): 120.00 90.00 90.00
Sites, in units of the cell vectors:
Si1 0.749 0.118 0.712
Si2 0.251 0.712 0.594
Si3 0.251 0.406 0.118
Si4 0.500 0.000 0.000
Si5 0.749 0.288 0.406
Si6 0.749 0.594 0.882
Si7 0.251 0.882 0.288
Pd1 0.249 0.618 0.062
Pd2 0.751 0.382 0.938
Pd3 0.751 0.062 0.444
Pd4 0.248 0.146 0.888
Pd5 0.752 0.854 0.112
Pd6 0.248 0.112 0.258
Pd7 0.752 0.258 0.146
Pd8 0.248 0.742 0.854
Pd9 0.752 0.888 0.742
Pd10 0.751 0.556 0.618
Pd11 0.249 0.444 0.382
Pd12 0.249 0.938 0.556
Pa1 0.245 0.333 0.667
Pa2 0.755 0.667 0.333

Computed properties:
The magnetization is 0.68 Bohr magnetons per cell. As for the formation energy without anion corrections: -0.71 eV/atom. The symmetry is P-3 (147).

=====

Record 2
Here is a relaxed VCdSb3 crystal from Alexandria via LeMat-Bulk. Energies are from PBE-GGA.

a b c (Å): 5.154 5.154 5.154
angles (deg): 90.00 90.00 90.00
Sites, in units of the cell vectors:
Sb1 0.000 0.500 0.000
Sb2 0.500 0.000 0.000
Sb3 0.000 0.000 0.500
V1 0.000 0.000 0.000
Cd1 0.500 0.500 0.500

Computed properties:
The magnetization is 0.00 Bohr magnetons per cell. As for the formation energy without anion corrections: 0.27 eV/atom. The calculation puts the polymorph energy (0 for the lowest one) at 0.0 kJ/mol of formula units. The symmetry is Pm-3m (221).

=====

Record 3
Here is a relaxed Pa2PtAu crystal from Alexandria via LeMat-Bulk. Energies are from PBE-GGA.

a b c (Å): 4.248 4.497 4.497
angles (deg): 90.00 90.00 90.00
Sites, in units of the cell vectors:
Pt1 0.500 0.000 0.000
Pa1 0.000 0.000 0.500
Pa2 0.000 0.500 0.000
Au1 0.500 0.500 0.500

Computed properties:
The magnetization is 0.00 Bohr magnetons per cell. The calculation puts the polymorph energy (0 for the lowest one) at 7.7 kJ/mol of formula units. As for the energy of formation: -0.518 eV per atom. The symmetry is P4/mmm (123).